V6P7O24: optimized geometry, GGA+U.

Its space group is No. 11. The calculation puts the size of the total moment at 17.00 μB/f.u. The total energy comes out at -7.579 eV/atom. The density of states at the Fermi level is 19.7 states/eV per cell.

Lattice parameters (Å, degrees): 5.3247 6.5886 26.8375 90.00 90.00 106.90
With the nearest neighbours (Å) after each atom.
Positions (direct):
O 0.5951 0.8369 0.0273  1 P 1.54
P 0.4647 0.9103 0.7500  4 O 1.52-1.58
O 0.4049 0.1631 0.9727  1 P 1.54
O 0.8705 0.0002 0.9502  1 P 1.54
O 0.6530 0.7741 0.7500  1 P 1.53
O 0.3470 0.2259 0.2500  1 P 1.53
V 0.2064 0.0872 0.9008  6 O 2.13-2.21
O 0.1594 0.3966 0.9046  1 P 1.54
O 0.1632 0.7649 0.8764  1 P 1.54
P 0.7088 0.7971 0.5233  4 O 1.53-1.60
O 0.1295 0.9998 0.4502  1 P 1.54
O 0.8406 0.6034 0.4046  1 P 1.54
O 0.4413 0.7104 0.9462  2 P 1.60-1.61
O 0.1715 0.7972 0.7500  1 P 1.52
V 0.8914 0.7257 0.6859  6 O 2.07-2.23
P 0.2404 0.8038 0.3316  4 O 1.50-1.64
P 0.2912 0.2029 0.0233  4 O 1.53-1.60
O 0.4049 0.1631 0.5273  1 P 1.54
O 0.3862 0.7949 0.3809  1 P 1.55
O 0.1632 0.7649 0.6236  1 P 1.54
O 0.1205 0.5933 0.3070  1 P 1.50
O 0.8406 0.6034 0.0954  1 P 1.54
O 0.8795 0.4067 0.6930  1 P 1.50
O 0.8795 0.4067 0.8070  1 P 1.50
V 0.7936 0.9128 0.4008  6 O 2.13-2.21
O 0.8601 0.6319 0.5209  1 P 1.53
O 0.6138 0.2051 0.8809  1 P 1.55
O 0.9457 0.0543 0.6647  1 P 1.55
V 0.1086 0.2743 0.3141  6 O 2.07-2.23
O 0.1205 0.5933 0.1930  1 P 1.50
O 0.1399 0.3681 0.4791  1 P 1.53
V 0.8195 0.3106 0.5471  5 O 2.14-2.23
O 0.1594 0.3966 0.5954  1 P 1.54
O 0.5587 0.2896 0.0538  2 P 1.60-1.61
O 0.5136 0.0601 0.7970  2 P 1.58-1.64
O 0.9457 0.0543 0.8353  1 P 1.55
O 0.1399 0.3681 0.0209  1 P 1.53
O 0.8368 0.2351 0.3764  1 P 1.54
O 0.8705 0.0002 0.5498  1 P 1.54
P 0.3335 0.6216 0.6081  4 O 1.49-1.61
O 0.1295 0.9998 0.0498  1 P 1.54
O 0.5580 0.6306 0.6423  1 P 1.49
V 0.2064 0.0872 0.5992  6 O 2.13-2.21
P 0.7596 0.1962 0.6684  4 O 1.50-1.64
P 0.6665 0.3784 0.1081  4 O 1.49-1.61
O 0.5951 0.8369 0.4727  1 P 1.54
P 0.3335 0.6216 0.8919  4 O 1.49-1.61
V 0.1086 0.2743 0.1859  6 O 2.07-2.23
P 0.7088 0.7971 0.9767  4 O 1.53-1.60
V 0.1805 0.6894 0.4529  5 O 2.14-2.23
O 0.8285 0.2028 0.2500  1 P 1.52
O 0.5136 0.0601 0.7030  2 P 1.58-1.64
O 0.5587 0.2896 0.4462  2 P 1.60-1.61
O 0.0543 0.9457 0.1647  1 P 1.55
O 0.4864 0.9399 0.2970  2 P 1.58-1.64
V 0.7936 0.9128 0.0992  6 O 2.13-2.21
P 0.2912 0.2029 0.4767  4 O 1.53-1.60
O 0.3862 0.7949 0.1191  1 P 1.55
O 0.6138 0.2051 0.6191  1 P 1.55
O 0.0543 0.9457 0.3353  1 P 1.55
P 0.5353 0.0897 0.2500  4 O 1.52-1.58
O 0.5580 0.6306 0.8577  1 P 1.49
O 0.8368 0.2351 0.1236  1 P 1.54
V 0.1805 0.6894 0.0471  5 O 2.14-2.23
V 0.8195 0.3106 0.9529  5 O 2.14-2.23
P 0.2404 0.8038 0.1684  4 O 1.50-1.64
P 0.6665 0.3784 0.3919  4 O 1.49-1.61
V 0.8914 0.7257 0.8141  6 O 2.07-2.23
O 0.4420 0.3694 0.3577  1 P 1.49
O 0.8601 0.6319 0.9791  1 P 1.53
O 0.4864 0.9399 0.2030  2 P 1.58-1.64
O 0.4420 0.3694 0.1423  1 P 1.49
P 0.7596 0.1962 0.8316  4 O 1.50-1.64
O 0.4413 0.7104 0.5538  2 P 1.60-1.61